Pm6SnRh3 | GGA-PBE | optimized geometry

CIF file:
```
data_Pm6SnRh3
_chemical_formula_sum 'Pm24 Sn4 Rh12'
_symmetry_space_group_name_H-M 'C m c 21'
_symmetry_Int_Tables_number 36
_cell_length_a 11.365
_cell_length_b 13.189
_cell_length_c 7.201
_cell_angle_alpha 90.00
_cell_angle_beta 90.00
_cell_angle_gamma 90.00
loop_
_symmetry_equiv_pos_as_xyz
'x,y,z'
'-x,-y,z+1/2'
'-x,y,z'
'x,-y,z+1/2'
'x+1/2,y+1/2,z'
'-x+1/2,-y+1/2,z+1/2'
'-x+1/2,y+1/2,z'
'x+1/2,-y+1/2,z+1/2'
loop_
_atom_site_label
_atom_site_type_symbol
_atom_site_fract_x
_atom_site_fract_y
_atom_site_fract_z
Pm1 Pm 0.000 0.070 0.000
Pm2 Pm 0.000 0.203 0.525
Pm3 Pm 0.152 0.470 0.460
Pm4 Pm 0.222 0.277 0.847
Sn1 Sn 0.000 0.317 0.139
Rh1 Rh 0.000 0.375 0.762
Rh2 Rh 0.172 0.078 0.682
```

Results
As for the total moment: 0.0 μB per formula unit. The distance to the lowest polymorph of the same formula is 0.18 eV per formula unit. The energy relative to the elements is -572 meV per atom. The density comes out at 7.98 g cm⁻³.